Record 1
A plane-wave DFT calculation with PBE-GGA was carried out for a relaxed CeHg2Te crystal. Values from VASP.

Cell and atoms, written as Quantum ESPRESSO input:
```
&SYSTEM
  ibrav = 0, nat = 4, ntyp = 3
/
ATOMIC_SPECIES
Ce 140.12 Ce.upf
Hg 200.59 Hg.upf
Te 127.60 Te.upf
ATOMIC_POSITIONS angstrom
Ce -0.537 -0.551 2.594
Hg 1.694 1.351 0.638
Te 2.582 -0.951 3.155
Hg 1.425 -1.751 -0.076
CELL_PARAMETERS angstrom
-1.075 -1.101 5.187
2.851 -3.503 -0.153
3.389 2.703 1.276
```

Computed properties:
The calculation puts the offset from the most stable computed form at 0.0 kJ per mole of atoms. The uncorrected formation energy is -0.613 eV per atom. The symmetry is No. 123.

***

Record 2
A plane-wave DFT calculation with PBE-GGA was carried out for a relaxed CeTh2Hg2 crystal. Values from VASP.

Cell and atoms, written as Quantum ESPRESSO input:
```
&SYSTEM
  ibrav = 0, nat = 5, ntyp = 3
/
ATOMIC_SPECIES
Ce 140.12 Ce.upf
Hg 200.59 Hg.upf
Th 232.04 Th.upf
ATOMIC_POSITIONS angstrom
Ce 1.756 0.237 0.368
Hg 2.966 3.100 1.651
Hg 3.551 3.089 7.787
Th 4.445 1.850 4.307
Th 2.072 4.339 5.131
CELL_PARAMETERS angstrom
3.513 0.474 0.737
-0.233 4.066 -1.507
3.237 1.649 10.208
```

Computed properties:
For the total energy, the calculation gives -4.436 eV per atom. The symmetry is No. 71.